1.
Ti2MoIr9 PBE relaxed; formation enthalpy at 0 K = -0.36 eV per atom; total magnetic moment = 0.000 μB per atom; crystal system = triclinic
1.0
-0.675 2.887 5.371
-4.493 -1.609 -0.394
0.946 -5.587 2.398
Ti Mo Ir
2 1 9
direct
0.097 0.255 0.581
0.903 0.745 0.419
0.000 0.000 0.000
0.414 0.248 0.917
0.586 0.752 0.083
0.500 0.500 0.500
0.837 0.507 0.834
0.670 0.009 0.670
0.244 0.753 0.738
0.163 0.493 0.166
0.756 0.247 0.262
0.330 0.991 0.330

2.
TiMo2Ir2 PBE relaxed; formation enthalpy at 0 K = 0.27 eV per atom; ΔE to the lowest computed polymorph = 442 meV per atom; total magnetic moment = 0.000 μB per atom; crystal system = tetragonal
1.0
-1.178 2.784 -2.506
-0.820 -2.755 -2.675
-6.324 -0.392 -0.540
Mo Ir Ti
2 2 1
direct
0.395 0.395 0.210
0.605 0.605 0.790
0.750 0.250 0.500
0.250 0.750 0.500
0.000 0.000 0.000

3.
Ti3MoIr PBE relaxed; formation enthalpy at 0 K = 0.72 eV per atom; ΔE to the lowest computed polymorph = 1240 meV per atom; total magnetic moment = 0.000 μB per atom; crystal system = cubic
1.0
4.673 0.000 0.000
0.000 4.673 0.000
0.000 0.000 4.673
Mo Ir Ti
1 1 3
direct
0.500 0.500 0.500
0.000 0.000 0.000
0.000 0.500 0.000
0.000 0.000 0.500
0.500 0.000 0.000

4.
Ti5MoIr4 PBE relaxed; formation enthalpy at 0 K = -0.72 eV per atom; total magnetic moment = 0.000 μB per atom; crystal system = tetragonal
1.0
3.166 0.000 0.000
0.000 3.166 0.000
0.000 0.000 15.210
Ti Mo Ir
5 1 4
direct
0.500 0.500 0.099
0.500 0.500 0.301
0.500 0.500 0.500
0.500 0.500 0.699
0.500 0.500 0.901
0.000 0.000 0.000
0.000 0.000 0.205
0.000 0.000 0.402
0.000 0.000 0.598
0.000 0.000 0.795

5.
Ti7Mo3Ir2 PBE relaxed; formation enthalpy at 0 K = -0.02 eV per atom; total magnetic moment = 0.000 μB per atom; crystal system = orthorhombic
1.0
4.302 0.000 0.000
0.000 4.503 -0.894
0.000 -0.238 10.586
Ti Mo Ir
7 3 2
direct
0.000 0.421 0.843
0.000 0.719 0.437
0.000 0.000 0.000
0.000 0.579 0.157
0.500 0.084 0.168
0.500 0.916 0.832
0.000 0.281 0.563
0.500 0.500 0.000
0.500 0.654 0.307
0.500 0.346 0.693
0.000 0.849 0.699
0.000 0.151 0.301

6.
TiMoIr4 PBE relaxed; formation enthalpy at 0 K = -0.38 eV per atom; total magnetic moment = 0.000 μB per atom; crystal system = monoclinic
1.0
0.568 -2.424 1.178
-1.633 -3.396 -2.980
7.078 -0.701 -1.639
Ti Mo Ir
1 1 4
direct
0.500 0.500 0.500
0.000 0.000 0.000
0.835 0.499 0.832
0.330 0.006 0.334
0.165 0.501 0.168
0.670 0.994 0.666

> total magnetic moment of number 5 (Ti7Mo3Ir2)?

0.000 μB per atom

Please write out number 3 again, unchanged.
Ti3MoIr PBE relaxed; formation enthalpy at 0 K = 0.72 eV per atom; ΔE to the lowest computed polymorph = 1240 meV per atom; total magnetic moment = 0.000 μB per atom; crystal system = cubic
1.0
4.673 0.000 0.000
0.000 4.673 0.000
0.000 0.000 4.673
Mo Ir Ti
1 1 3
direct
0.500 0.500 0.500
0.000 0.000 0.000
0.000 0.500 0.000
0.000 0.000 0.500
0.500 0.000 0.000

> Which value of total magnetic moment does entry 6 give?

0.000 μB per atom